# Li2Sm2Mg15, relaxed, DFT PBE
data_Li2Sm2Mg15
_chemical_formula_sum 'Li6 Sm6 Mg45'
_cell_length_a 10.2538
_cell_length_b 10.2538
_cell_length_c 15.1556
_cell_angle_alpha 90.00
_cell_angle_beta 90.00
_cell_angle_gamma 120.00
_space_group_name_H-M_alt 'R -3 m'
_space_group_IT_number 166
_space_group_name_Hall '-R 3 2"'
loop_
_atom_site_label
_atom_site_fract_x
_atom_site_fract_y
_atom_site_fract_z
_atom_site_occupancy
Li1 0.0000 0.0000 0.0967 1
Sm1 0.0000 0.0000 0.3319 1
Mg1 0.0000 0.3074 0.0000 1
Mg2 0.0000 0.5000 0.5000 1
Mg3 0.0064 0.5032 0.1536 1
# Formation energy from the elements (eV per atom): -0.03

=====

# LiSmMg, relaxed, DFT PBE
data_LiSmMg
_chemical_formula_sum 'Li2 Sm2 Mg2'
_cell_length_a 3.529
_cell_length_b 3.532
_cell_length_c 12.338
_cell_angle_alpha 89.99
_cell_angle_beta 90.00
_cell_angle_gamma 89.99
_space_group_name_H-M_alt 'P 1'
_space_group_IT_number 1
_space_group_name_Hall 'P 1'
loop_
_atom_site_label
_atom_site_fract_x
_atom_site_fract_y
_atom_site_fract_z
_atom_site_occupancy
Li1 0.000 0.000 0.000 1
Li2 0.500 0.499 0.867 1
Sm1 0.499 0.499 0.539 1
Sm2 0.999 0.000 0.327 1
Mg1 0.498 0.501 0.136 1
Mg2 0.999 0.998 0.731 1
# Formation energy from the elements (eV per atom): -0.03
# Energy above the lowest structure with this stoichiometry (kJ/mol of atoms): 0.0

=====

# LiSm2Mg7, relaxed, DFT PBE
data_LiSm2Mg7
_chemical_formula_sum 'Li4 Sm8 Mg28'
_cell_length_a 10.111
_cell_length_b 10.111
_cell_length_c 10.111
_cell_angle_alpha 90.00
_cell_angle_beta 90.00
_cell_angle_gamma 90.00
_space_group_name_H-M_alt 'F m -3 m'
_space_group_IT_number 225
_space_group_name_Hall '-F 4 2 3'
loop_
_atom_site_label
_atom_site_fract_x
_atom_site_fract_y
_atom_site_fract_z
_atom_site_occupancy
Li1 0.000 0.000 0.000 1
Sm1 0.250 0.250 0.250 1
Mg1 0.000 0.000 0.238 1
Mg2 0.000 0.000 0.500 1
# Formation energy from the elements (eV per atom): 0.20

=====

# LiSmMgSn2, relaxed, DFT PBE
data_LiSmMgSn2
_chemical_formula_sum 'Li2 Sm2 Mg2 Sn4'
_cell_length_a 4.417
_cell_length_b 4.417
_cell_length_c 12.652
_cell_angle_alpha 90.00
_cell_angle_beta 90.00
_cell_angle_gamma 90.00
_space_group_name_H-M_alt 'I -4 m 2'
_space_group_IT_number 119
_space_group_name_Hall 'I -4 -2'
loop_
_atom_site_label
_atom_site_fract_x
_atom_site_fract_y
_atom_site_fract_z
_atom_site_occupancy
Li1 0.000 0.000 0.000 1
Sm1 0.000 0.500 0.250 1
Mg1 0.000 0.000 0.500 1
Sn1 0.000 0.500 0.639 1
# Formation energy from the elements (eV per atom): -0.45